Compound: Ac2Si5Os
Source: Alexandria
Functional: PBE-GGA
Structure: relaxed

Values from the calculation:
Raw total energy ... -6.216 eV/atom
Magnetization ... 0.000 μB per formula unit
Energy relative to the elements, uncorrected ... -3.16 eV/f.u.
Symmetry ... I4mm, No. 107

Cell and atoms, written as POSCAR:
```
Ac2Si5Os
1.0
-1.325 5.224 -3.403
-1.779 -5.884 -1.684
-2.882 -1.493 5.486
Si Ac Os
5 2 1
Direct
0.000 0.290 0.290
0.421 0.694 0.694
0.000 0.694 0.273
0.579 0.273 0.273
0.000 0.273 0.694
0.500 0.231 0.731
0.500 0.731 0.231
0.000 0.036 0.036
```

***

Compound: AcSi2Os2
Source: Alexandria
Functional: PBE-GGA
Structure: relaxed

Values from the calculation:
Raw total energy ... -8.116 eV/atom
Magnetization ... 0.000 μB per formula unit
Energy relative to the elements, uncorrected ... -3.17 eV/f.u.
Symmetry ... I4/mmm, No. 139

Cell and atoms, written as POSCAR:
```
AcSi2Os2
1.0
-3.871 -1.359 1.201
1.813 -2.973 2.480
1.086 5.508 2.125
Si Os Ac
2 2 1
Direct
0.358 0.358 0.716
0.642 0.642 0.284
0.750 0.250 0.500
0.250 0.750 0.500
0.000 0.000 0.000
```

***

Compound: Ac2Si3Os
Source: Alexandria
Functional: PBE-GGA
Structure: relaxed

Values from the calculation:
Raw total energy ... -6.508 eV/atom
Magnetization ... 0.000 μB per formula unit
Energy relative to the elements, uncorrected ... -3.33 eV/f.u.
Symmetry ... Fmmm, No. 69

Cell and atoms, written as POSCAR:
```
Ac2Si3Os
1.0
-2.102 5.776 -1.050
-4.200 -1.802 -4.243
-1.813 -2.835 7.920
Si Ac Os
6 4 2
Direct
0.169 0.169 0.338
0.167 0.663 0.830
0.663 0.167 0.830
0.833 0.337 0.170
0.337 0.833 0.170
0.831 0.831 0.662
0.250 0.750 0.500
0.750 0.250 0.500
0.741 0.741 0.000
0.259 0.259 0.000
0.333 0.333 0.667
0.667 0.667 0.333
```